i:
! TlOsCl4, optimized geometry, DFT PBE-GGA; values from VASP
&SYSTEM
  ibrav = 0, nat = 12, ntyp = 3
/
ATOMIC_SPECIES
Os 190.23 Os.upf
Cl 35.45 Cl.upf
Tl 204.38 Tl.upf
ATOMIC_POSITIONS angstrom
Os 2.759 1.589 -3.860
Cl 3.063 -5.349 -2.718
Cl 1.979 0.586 -0.275
Cl 4.091 -1.838 -1.589
Cl 0.514 -3.827 -4.454
Cl -0.290 -6.342 -2.251
Tl 0.777 -3.253 -1.344
Cl 4.826 1.430 -0.672
Os 1.846 -7.254 -2.183
Tl 3.828 -2.413 -4.699
Cl 1.542 -0.317 -3.325
Cl 4.895 0.677 -3.792
CELL_PARAMETERS angstrom
-1.209 1.929 -4.583
6.805 2.016 -0.947
-0.991 -9.611 -0.513
! symmetry = C2/m, No. 12
! spin magnetization = 0.0 μB per formula unit


ii:
! TlOsCl4, optimized geometry, DFT PBE-GGA; values from VASP
&SYSTEM
  ibrav = 0, nat = 6, ntyp = 3
/
ATOMIC_SPECIES
Cl 35.45 Cl.upf
Os 190.23 Os.upf
Tl 204.38 Tl.upf
ATOMIC_POSITIONS angstrom
Cl 3.213 5.348 5.348
Cl 3.213 3.213 3.213
Cl 5.348 5.348 3.213
Os 6.421 6.421 6.421
Tl 0.000 0.000 0.000
Cl 5.348 3.213 5.348
CELL_PARAMETERS angstrom
0.000 4.281 4.281
4.281 0.000 4.281
4.281 4.281 0.000
! symmetry = F-43m, No. 216
! spin magnetization = 7.0 μB per formula unit


Ordering by calculated energy gives the sequence i, ii, with the first entry being the most stable.


i:
! VOsCl, optimized geometry, DFT PBE-GGA; values from VASP
&SYSTEM
  ibrav = 0, nat = 3, ntyp = 3
/
ATOMIC_SPECIES
Os 190.23 Os.upf
Cl 35.45 Cl.upf
V 50.94 V.upf
ATOMIC_POSITIONS angstrom
Os -7.128 2.504 -0.909
Cl -2.376 0.835 -0.303
V 0.000 0.000 0.000
CELL_PARAMETERS angstrom
-2.987 0.771 -2.764
-3.966 -0.650 1.001
-2.551 3.217 0.550
! symmetry = F-43m, No. 216
! spin magnetization = 0.1 μB per formula unit


ii:
! VOsCl, optimized geometry, DFT PBE-GGA; values from VASP
&SYSTEM
  ibrav = 0, nat = 6, ntyp = 3
/
ATOMIC_SPECIES
V 50.94 V.upf
Cl 35.45 Cl.upf
Os 190.23 Os.upf
ATOMIC_POSITIONS angstrom
V -4.128 5.738 1.156
V -1.924 -0.815 0.884
Cl -4.951 11.050 0.974
Os -4.975 7.545 -0.267
Cl -1.134 1.345 0.340
Os -3.585 4.012 -0.498
CELL_PARAMETERS angstrom
-1.127 -0.267 -2.699
-1.522 -0.749 2.308
-5.048 12.834 0.838
! symmetry = Amm2, No. 38
! spin magnetization = 0.0 μB per formula unit


Ordering by calculated energy gives the sequence ii, i, with the first entry being the most stable.


i:
! VOs2Cl, optimized geometry, DFT PBE-GGA; values from VASP
&SYSTEM
  ibrav = 0, nat = 8, ntyp = 3
/
ATOMIC_SPECIES
Os 190.23 Os.upf
Cl 35.45 Cl.upf
V 50.94 V.upf
ATOMIC_POSITIONS angstrom
Os -3.777 -1.150 -1.987
Cl -1.796 -1.146 -3.156
Os -4.206 -4.875 -2.767
V 0.000 0.000 0.000
Os -6.023 -5.965 -5.852
Cl -2.193 -4.851 -3.881
Os -0.830 -3.227 -2.990
V -5.224 -2.758 -2.916
CELL_PARAMETERS angstrom
-4.827 0.947 -2.191
1.235 -3.239 -4.121
-3.826 -5.316 -0.486
! symmetry = I-42d, No. 122
! spin magnetization = 0.0 μB per formula unit


ii:
! VOs2Cl, optimized geometry, DFT PBE-GGA; values from VASP
&SYSTEM
  ibrav = 0, nat = 4, ntyp = 3
/
ATOMIC_SPECIES
Os 190.23 Os.upf
Cl 35.45 Cl.upf
V 50.94 V.upf
ATOMIC_POSITIONS angstrom
Os -2.188 -0.156 1.508
Cl 0.000 0.000 0.000
Os -6.564 -0.469 4.523
V -4.376 -0.313 3.015
CELL_PARAMETERS angstrom
-3.807 -2.029 0.530
-1.504 -0.789 4.001
-3.441 2.192 1.499
! symmetry = Fm-3m, No. 225
! spin magnetization = 0.0 μB per formula unit


Ordering by calculated energy gives the sequence ii, i, with the first entry being the most stable.


i:
! V3OsCl, optimized geometry, DFT PBE-GGA; values from VASP
&SYSTEM
  ibrav = 0, nat = 5, ntyp = 3
/
ATOMIC_SPECIES
Os 190.23 Os.upf
Cl 35.45 Cl.upf
V 50.94 V.upf
ATOMIC_POSITIONS angstrom
Os 0.000 0.000 0.000
Cl -3.344 -2.418 -0.073
V -1.331 -0.449 -1.924
V -0.036 -2.314 0.566
V -1.976 0.345 1.286
CELL_PARAMETERS angstrom
-2.663 -0.899 -3.849
-0.073 -4.629 1.131
-3.952 0.691 2.572
! symmetry = Pm-3m, No. 221
! spin magnetization = 5.8 μB per formula unit


ii:
! V3OsCl, optimized geometry, DFT PBE-GGA; values from VASP
&SYSTEM
  ibrav = 0, nat = 5, ntyp = 3
/
ATOMIC_SPECIES
V 50.94 V.upf
Cl 35.45 Cl.upf
Os 190.23 Os.upf
ATOMIC_POSITIONS angstrom
V 0.000 2.091 0.000
V 0.000 0.000 2.091
Cl 0.000 0.000 0.000
Os 2.091 2.091 2.091
V 2.091 0.000 0.000
CELL_PARAMETERS angstrom
4.183 0.000 0.000
0.000 4.183 0.000
0.000 0.000 4.183
! symmetry = Pm-3m, No. 221
! spin magnetization = 0.0 μB per formula unit


Ordering by calculated energy gives the sequence ii, i, with the first entry being the most stable.